#one
Density functional theory data (GGA-PBE) for a relaxed La2TlO crystal.

## Properties
Total moment = 0.0 μB per cell
Volume = 103.6 Å³ per cell

a b c (Å): 5.2719 5.2719 5.2719
angles (deg): 60.00 60.00 60.00
Last column: nearest neighbours and their distance in Å.
Element x y z (fractional)
La1 0.2500 0.2500 0.2500  4 O 3.23, 4 Tl 3.23
La2 0.7500 0.7500 0.7500  4 O 3.23, 4 Tl 3.23
Tl1 0.0000 0.0000 0.0000  8 La 3.23
O1 0.5000 0.5000 0.5000  8 La 3.23

#two
Density functional theory data (GGA-PBE) for a relaxed La2TlO crystal.

## Properties
Total moment = 0.0 μB per cell
Volume = 217.0 Å³ per cell

a b c (Å): 4.8008 4.8008 9.4173
angles (deg): 90.05 90.05 90.00
Last column: nearest neighbours and their distance in Å.
Element x y z (fractional)
La1 0.2494 0.2494 0.6677  1 O 2.38
La2 0.2500 0.7500 0.0000  4 O 2.51
La3 0.7500 0.2500 0.0000  4 O 2.51
La4 0.7506 0.7506 0.3323  1 O 2.38
Tl1 0.2506 0.2506 0.2989  9 La 3.41-3.70, 1 O 3.56
Tl2 0.7494 0.7494 0.7011  9 La 3.41-3.70, 1 O 3.56
O1 0.2498 0.2498 0.9204  5 La 2.38-2.51
O2 0.7502 0.7502 0.0796  5 La 2.38-2.51

#three
Density functional theory data (GGA-PBE) for a relaxed La2TlO crystal.

## Properties
Total moment = 0.0 μB per cell
Volume = 102.1 Å³ per cell

a b c (Å): 8.3961 8.3961 8.3961
angles (deg): 26.26 26.26 26.26
Last column: nearest neighbours and their distance in Å.
Element x y z (fractional)
La1 0.2234 0.2234 0.2234  3 O 2.60
La2 0.7766 0.7766 0.7766  3 O 2.60
Tl1 0.0000 0.0000 0.0000  6 La 3.46, 6 Tl 3.81
O1 0.5000 0.5000 0.5000  6 La 2.60

#four
Density functional theory data (GGA-PBE) for a relaxed La2TlO crystal.

## Properties
Total moment = 0.0 μB per cell
Volume = 89.4 Å³ per cell

a b c (Å): 3.2804 3.2804 8.3059
angles (deg): 90.00 90.00 90.00
Last column: nearest neighbours and their distance in Å.
Element x y z (fractional)
La1 0.0000 0.0000 0.1928  4 O 2.82
La2 0.0000 0.0000 0.8072  4 O 2.82
Tl1 0.5000 0.5000 0.5000  4 Tl 3.28, 8 La 3.45
O1 0.5000 0.5000 0.0000  8 La 2.82

The calculated energies rank the structures as follows, beginning with the most stable: #two, #three, #four, #one.